A geometry-optimized Y5TlGe2 structure, computed with PBE-GGA.

abc: 8.875 8.875 8.875
angles: 127.45 127.45 77.52
Positions (direct):
Y1 0.000 0.000 0.000
Y2 0.019 0.519 0.819
Y3 0.200 0.019 0.500
Y4 0.300 0.800 0.819
Y5 0.481 0.300 0.500
Y6 0.500 0.500 0.000
Y7 0.519 0.700 0.500
Y8 0.700 0.200 0.181
Y9 0.800 0.981 0.500
Y10 0.981 0.481 0.181
Tl1 0.250 0.250 0.000
Tl2 0.750 0.750 0.000
Ge1 0.144 0.356 0.500
Ge2 0.356 0.856 0.212
Ge3 0.644 0.144 0.788
Ge4 0.856 0.644 0.500

- energy (eV per atom) = -6.16
- energy of formation from the pure elements (kJ/mol of formula units) = -517
- V (Å³/f.u.) = 213.6
- magnetization (μB per atom) = 0.06